No. 1
# GGA-PBE Rb2TlRhCl6, relaxed
data_Rb2TlRhCl6
_cell_length_a 7.460
_cell_length_b 10.683
_cell_length_c 7.686
_cell_angle_alpha 90.00
_cell_angle_beta 90.00
_cell_angle_gamma 90.00
_symmetry_space_group_name_H-M 'P 1'
_symmetry_Int_Tables_number 1
_symmetry_space_group_name_Hall 'P 1'
loop_
_atom_site_label
_atom_site_fract_x
_atom_site_fract_y
_atom_site_fract_z
_atom_site_occupancy
Rb1 0.250 0.008 0.233 1
Rb2 0.250 0.492 0.233 1
Rb3 0.750 0.508 0.767 1
Rb4 0.750 0.992 0.767 1
Tl1 0.250 0.250 0.732 1
Tl2 0.750 0.750 0.268 1
Rh1 0.250 0.750 0.765 1
Rh2 0.750 0.250 0.235 1
Cl1 0.024 0.750 0.547 1
Cl2 0.025 0.750 0.984 1
Cl3 0.250 0.528 0.766 1
Cl4 0.250 0.972 0.766 1
Cl5 0.475 0.750 0.984 1
Cl6 0.476 0.750 0.547 1
Cl7 0.524 0.250 0.453 1
Cl8 0.525 0.250 0.016 1
Cl9 0.750 0.028 0.234 1
Cl10 0.750 0.472 0.234 1
Cl11 0.975 0.250 0.016 1
Cl12 0.976 0.250 0.453 1
# formation energy (no corrections): -1.241 eV/atom
# total DFT energy (no corrections): -3.51 eV per atom
# crystal system: orthorhombic
# space group: Pmmn

=====

No. 2
# GGA-PBE Sb2RhCl, relaxed
data_Sb2RhCl
_cell_length_a 5.447
_cell_length_b 5.447
_cell_length_c 5.447
_cell_angle_alpha 140.16
_cell_angle_beta 115.53
_cell_angle_gamma 78.53
_symmetry_space_group_name_H-M 'P 1'
_symmetry_Int_Tables_number 1
_symmetry_space_group_name_Hall 'P 1'
loop_
_atom_site_label
_atom_site_fract_x
_atom_site_fract_y
_atom_site_fract_z
_atom_site_occupancy
Sb1 0.225 0.225 0.000 1
Sb2 0.775 0.775 0.000 1
Rh1 0.000 0.500 0.500 1
Cl1 0.500 0.000 0.500 1
# formation energy (no corrections): 0.126 eV/atom
# total DFT energy (no corrections): -4.23 eV per atom
# crystal system: orthorhombic
# space group: Immm
# DOS(E_F): 0.70 states/eV per atom

=====

No. 3
# GGA-PBE Li4NdAu, relaxed
data_Li4NdAu
_cell_length_a 5.373
_cell_length_b 5.373
_cell_length_c 5.373
_cell_angle_alpha 60.00
_cell_angle_beta 60.00
_cell_angle_gamma 60.00
_symmetry_space_group_name_H-M 'P 1'
_symmetry_Int_Tables_number 1
_symmetry_space_group_name_Hall 'P 1'
loop_
_atom_site_label
_atom_site_fract_x
_atom_site_fract_y
_atom_site_fract_z
_atom_site_occupancy
Li1 0.122 0.122 0.122 1
Li2 0.122 0.122 0.635 1
Li3 0.122 0.635 0.122 1
Li4 0.635 0.122 0.122 1
Nd1 0.500 0.500 0.500 1
Au1 0.750 0.750 0.750 1
# total DFT energy (no corrections): -2.78 eV per atom
# ΔE_f: -1.005 eV/f.u.
# crystal system: cubic
# space group: F-43m
# DOS(E_F): 0.35 states/eV per atom

=====

No. 4
# GGA-PBE La4Ru2Br5, relaxed
data_La4Ru2Br5
_cell_length_a 10.591
_cell_length_b 10.591
_cell_length_c 10.591
_cell_angle_alpha 156.64
_cell_angle_beta 132.00
_cell_angle_gamma 54.04
_symmetry_space_group_name_H-M 'P 1'
_symmetry_Int_Tables_number 1
_symmetry_space_group_name_Hall 'P 1'
loop_
_atom_site_label
_atom_site_fract_x
_atom_site_fract_y
_atom_site_fract_z
_atom_site_occupancy
La1 0.184 0.184 0.000 1
La2 0.221 0.500 0.721 1
La3 0.779 0.500 0.279 1
La4 0.816 0.816 0.000 1
Ru1 0.064 0.064 0.000 1
Ru2 0.936 0.936 0.000 1
Br1 0.108 0.329 0.779 1
Br2 0.450 0.671 0.779 1
Br3 0.500 0.000 0.500 1
Br4 0.550 0.329 0.221 1
Br5 0.892 0.671 0.221 1
# formation energy (no corrections): -1.222 eV/atom
# total DFT energy (no corrections): -5.46 eV per atom
# crystal system: orthorhombic
# space group: Immm
# DOS(E_F): 0.30 states/eV per atom

=====

No. 5
# GGA-PBE HfUZn, relaxed
data_HfUZn
_cell_length_a 7.642
_cell_length_b 7.642
_cell_length_c 7.642
_cell_angle_alpha 34.28
_cell_angle_beta 34.28
_cell_angle_gamma 34.28
_symmetry_space_group_name_H-M 'P 1'
_symmetry_Int_Tables_number 1
_symmetry_space_group_name_Hall 'P 1'
loop_
_atom_site_label
_atom_site_fract_x
_atom_site_fract_y
_atom_site_fract_z
_atom_site_occupancy
Hf1 0.210 0.210 0.210 1
Hf2 0.790 0.790 0.790 1
U1 0.355 0.355 0.355 1
U2 0.645 0.645 0.645 1
Zn1 0.079 0.079 0.079 1
Zn2 0.921 0.921 0.921 1
# total DFT energy (no corrections): -7.23 eV per atom
# ΔE_f: 0.838 eV/f.u.
# crystal system: trigonal
# space group: R-3m
# DOS(E_F): 1.81 states/eV per atom

=====

No. 6
# GGA-PBE Nd6Ho12Al, relaxed
data_Nd6Ho12Al
_cell_length_a 8.464
_cell_length_b 8.464
_cell_length_c 8.464
_cell_angle_alpha 89.11
_cell_angle_beta 89.11
_cell_angle_gamma 89.11
_symmetry_space_group_name_H-M 'P 1'
_symmetry_Int_Tables_number 1
_symmetry_space_group_name_Hall 'P 1'
loop_
_atom_site_label
_atom_site_fract_x
_atom_site_fract_y
_atom_site_fract_z
_atom_site_occupancy
Nd1 0.200 0.759 0.591 1
Nd2 0.241 0.409 0.800 1
Nd3 0.409 0.800 0.241 1
Nd4 0.591 0.200 0.759 1
Nd5 0.759 0.591 0.200 1
Nd6 0.800 0.241 0.409 1
Ho1 0.037 0.938 0.279 1
Ho2 0.062 0.721 0.963 1
Ho3 0.143 0.485 0.315 1
Ho4 0.279 0.037 0.938 1
Ho5 0.315 0.143 0.485 1
Ho6 0.485 0.315 0.143 1
Ho7 0.515 0.685 0.857 1
Ho8 0.685 0.857 0.515 1
Ho9 0.721 0.963 0.062 1
Ho10 0.857 0.515 0.685 1
Ho11 0.938 0.279 0.037 1
Ho12 0.963 0.062 0.721 1
Al1 0.500 0.500 0.500 1
# total DFT energy (no corrections): -4.50 eV per atom
# ΔE_f: 1.693 eV/f.u.
# crystal system: trigonal
# space group: R-3
# DOS(E_F): 1.29 states/eV per atom

=====

No. 7
# GGA-PBE CaErSe2O8, relaxed
data_CaErSe2O8
_cell_length_a 5.721
_cell_length_b 5.721
_cell_length_c 6.944
_cell_angle_alpha 90.00
_cell_angle_beta 90.00
_cell_angle_gamma 120.00
_symmetry_space_group_name_H-M 'P 1'
_symmetry_Int_Tables_number 1
_symmetry_space_group_name_Hall 'P 1'
loop_
_atom_site_label
_atom_site_fract_x
_atom_site_fract_y
_atom_site_fract_z
_atom_site_occupancy
Ca1 0.000 0.000 0.000 1
Er1 0.000 0.000 0.500 1
Se1 0.333 0.667 0.792 1
Se2 0.667 0.333 0.208 1
O1 0.162 0.324 0.723 1
O2 0.162 0.838 0.723 1
O3 0.324 0.162 0.277 1
O4 0.333 0.667 0.029 1
O5 0.667 0.333 0.971 1
O6 0.676 0.838 0.723 1
O7 0.838 0.162 0.277 1
O8 0.838 0.676 0.277 1
# formation energy (no corrections): -1.612 eV/atom
# total DFT energy (no corrections): -6.05 eV per atom
# crystal system: trigonal
# space group: P-3m1
# DOS(E_F): 0.27 states/eV per atom

=====

No. 8
# GGA-PBE Pm12Nd5Dy2, relaxed
data_Pm12Nd5Dy2
_cell_length_a 10.810
_cell_length_b 10.810
_cell_length_c 6.276
_cell_angle_alpha 100.75
_cell_angle_beta 100.75
_cell_angle_gamma 66.41
_symmetry_space_group_name_H-M 'P 1'
_symmetry_Int_Tables_number 1
_symmetry_space_group_name_Hall 'P 1'
loop_
_atom_site_label
_atom_site_fract_x
_atom_site_fract_y
_atom_site_fract_z
_atom_site_occupancy
Pm1 0.048 0.558 0.801 1
Pm2 0.053 0.053 0.274 1
Pm3 0.143 0.651 0.382 1
Pm4 0.349 0.857 0.618 1
Pm5 0.380 0.380 0.003 1
Pm6 0.442 0.952 0.199 1
Pm7 0.558 0.048 0.801 1
Pm8 0.620 0.620 0.997 1
Pm9 0.651 0.143 0.382 1
Pm10 0.857 0.349 0.618 1
Pm11 0.947 0.947 0.726 1
Pm12 0.952 0.442 0.199 1
Nd1 0.176 0.176 0.858 1
Nd2 0.285 0.285 0.447 1
Nd3 0.500 0.500 0.500 1
Nd4 0.715 0.715 0.553 1
Nd5 0.824 0.824 0.142 1
Dy1 0.271 0.729 0.000 1
Dy2 0.729 0.271 0.000 1
# total DFT energy (no corrections): -4.64 eV per atom
# ΔE_f: 1.825 eV/f.u.
# crystal system: monoclinic
# space group: C2/m
# excess energy over the best structure of this formula in the dataset: 0 meV/atom
# DOS(E_F): 1.47 states/eV per atom

=====

No. 9
# GGA-PBE Pa2Co5B, relaxed
data_Pa2Co5B
_cell_length_a 5.415
_cell_length_b 5.415
_cell_length_c 5.415
_cell_angle_alpha 120.56
_cell_angle_beta 120.56
_cell_angle_gamma 89.04
_symmetry_space_group_name_H-M 'P 1'
_symmetry_Int_Tables_number 1
_symmetry_space_group_name_Hall 'P 1'
loop_
_atom_site_label
_atom_site_fract_x
_atom_site_fract_y
_atom_site_fract_z
_atom_site_occupancy
Pa1 0.000 0.500 0.500 1
Pa2 0.500 0.000 0.500 1
Co1 0.002 0.002 0.000 1
Co2 0.510 0.510 0.517 1
Co3 0.510 0.992 0.000 1
Co4 0.992 0.510 0.000 1
Co5 0.992 0.992 0.483 1
B1 0.279 0.279 0.000 1
# total DFT energy (no corrections): -8.05 eV per atom
# ΔE_f: -3.197 eV/f.u.
# crystal system: tetragonal
# space group: I4mm
# DOS(E_F): 0.35 states/eV per atom

=====

No. 10
# GGA-PBE YTc2W, relaxed
data_YTc2W
_cell_length_a 3.171
_cell_length_b 3.171
_cell_length_c 7.171
_cell_angle_alpha 90.00
_cell_angle_beta 90.00
_cell_angle_gamma 90.00
_symmetry_space_group_name_H-M 'P 1'
_symmetry_Int_Tables_number 1
_symmetry_space_group_name_Hall 'P 1'
loop_
_atom_site_label
_atom_site_fract_x
_atom_site_fract_y
_atom_site_fract_z
_atom_site_occupancy
Y1 0.000 0.000 0.000 1
Tc1 0.000 0.000 0.494 1
Tc2 0.500 0.500 0.291 1
W1 0.500 0.500 0.701 1
# total DFT energy (no corrections): -9.74 eV per atom
# ΔE_f: 1.170 eV/f.u.
# crystal system: tetragonal
# space group: P4mm
# DOS(E_F): 0.99 states/eV per atom

=====

No. 11
# GGA-PBE LiLaSmGd, relaxed
data_LiLaSmGd
_cell_length_a 5.627
_cell_length_b 5.627
_cell_length_c 5.627
_cell_angle_alpha 60.00
_cell_angle_beta 60.00
_cell_angle_gamma 60.00
_symmetry_space_group_name_H-M 'P 1'
_symmetry_Int_Tables_number 1
_symmetry_space_group_name_Hall 'P 1'
loop_
_atom_site_label
_atom_site_fract_x
_atom_site_fract_y
_atom_site_fract_z
_atom_site_occupancy
Li1 0.000 0.000 0.000 1
La1 0.750 0.750 0.750 1
Sm1 0.250 0.250 0.250 1
Gd1 0.500 0.500 0.500 1
# total DFT energy (no corrections): -6.24 eV per atom
# ΔE_f: 0.662 eV/f.u.
# crystal system: cubic
# space group: F-43m
# DOS(E_F): 1.43 states/eV per atom

=====

No. 12
# GGA-PBE ThBeGeIr, relaxed
data_ThBeGeIr
_cell_length_a 4.156
_cell_length_b 4.156
_cell_length_c 8.658
_cell_angle_alpha 90.00
_cell_angle_beta 90.00
_cell_angle_gamma 90.00
_symmetry_space_group_name_H-M 'P 1'
_symmetry_Int_Tables_number 1
_symmetry_space_group_name_Hall 'P 1'
loop_
_atom_site_label
_atom_site_fract_x
_atom_site_fract_y
_atom_site_fract_z
_atom_site_occupancy
Th1 0.250 0.250 0.238 1
Th2 0.750 0.750 0.762 1
Be1 0.250 0.250 0.621 1
Be2 0.750 0.750 0.379 1
Ge1 0.250 0.250 0.894 1
Ge2 0.750 0.750 0.106 1
Ir1 0.250 0.750 0.500 1
Ir2 0.750 0.250 0.500 1
# total DFT energy (no corrections): -6.79 eV per atom
# ΔE_f: -2.522 eV/f.u.
# crystal system: tetragonal
# space group: P4/nmm
# DOS(E_F): 0.55 states/eV per atom

=====

Q: Which of these has the lowest total DFT energy (no corrections)?
A: YTc2W

=====

Please write out number 7 again, unchanged.
# GGA-PBE CaErSe2O8, relaxed
data_CaErSe2O8
_cell_length_a 5.721
_cell_length_b 5.721
_cell_length_c 6.944
_cell_angle_alpha 90.00
_cell_angle_beta 90.00
_cell_angle_gamma 120.00
_symmetry_space_group_name_H-M 'P 1'
_symmetry_Int_Tables_number 1
_symmetry_space_group_name_Hall 'P 1'
loop_
_atom_site_label
_atom_site_fract_x
_atom_site_fract_y
_atom_site_fract_z
_atom_site_occupancy
Ca1 0.000 0.000 0.000 1
Er1 0.000 0.000 0.500 1
Se1 0.333 0.667 0.792 1
Se2 0.667 0.333 0.208 1
O1 0.162 0.324 0.723 1
O2 0.162 0.838 0.723 1
O3 0.324 0.162 0.277 1
O4 0.333 0.667 0.029 1
O5 0.667 0.333 0.971 1
O6 0.676 0.838 0.723 1
O7 0.838 0.162 0.277 1
O8 0.838 0.676 0.277 1
# formation energy (no corrections): -1.612 eV/atom
# total DFT energy (no corrections): -6.05 eV per atom
# crystal system: trigonal
# space group: P-3m1
# DOS(E_F): 0.27 states/eV per atom

=====

Q: What is the total DFT energy (no corrections) in the seventh record?
A: -6.05 eV per atom